Mg2Cr9O13 | PBE+U | relaxed

Cell and atoms, written as CIF:
```
data_Mg2Cr9O13
_chemical_formula_sum 'Mg4 Cr18 O26'
_symmetry_space_group_name_H-M 'C 1 2/m 1'
_symmetry_Int_Tables_number 12
_cell_length_a 10.1813
_cell_length_b 2.9918
_cell_length_c 16.9762
_cell_angle_alpha 90.00
_cell_angle_beta 97.94
_cell_angle_gamma 90.00
loop_
_symmetry_equiv_pos_as_xyz
'x,y,z'
'-x,-y,-z'
'-x,y,-z'
'x,-y,z'
'x+1/2,y+1/2,z'
'-x+1/2,-y+1/2,-z'
'-x+1/2,y+1/2,-z'
'x+1/2,-y+1/2,z'
loop_
_atom_site_label
_atom_site_fract_x
_atom_site_fract_y
_atom_site_fract_z
Mg1 0.2226 0.0000 0.2324
Cr1 0.0000 0.5000 0.5000
Cr2 0.0013 0.0000 0.3277
Cr3 0.0671 0.0000 0.8774
Cr4 0.1458 0.5000 0.0429
Cr5 0.2447 0.0000 0.5850
O1 0.0000 0.0000 0.0000
O2 0.0683 0.5000 0.1455
O3 0.0974 0.5000 0.6153
O4 0.1241 0.0000 0.4752
O5 0.1380 0.5000 0.3078
O6 0.1466 0.0000 0.7807
O7 0.1980 0.5000 0.9285
```

Results
**Total energy**: -178.67 eV per formula unit